1.
# SCAN ScOsAu, single point on PBEsol structure
# total magnetization = 0.00 Bohr magnetons per cell
# ΔH_f (0 K) = -117 meV per atom
# offset from the most stable computed form = 0.0000 eV/atom
data_ScOsAu
_cell_length_a 2.743
_cell_length_b 4.094
_cell_length_c 5.041
_cell_angle_alpha 113.96
_cell_angle_beta 105.78
_cell_angle_gamma 90.00
_space_group_name_H-M_alt 'P 1'
_space_group_IT_number 1
loop_
_space_group_symop_operation_xyz
'x,y,z'
loop_
_atom_site_label
_atom_site_type_symbol
_atom_site_fract_x
_atom_site_fract_y
_atom_site_fract_z
Os1 Os 0.669 0.669 0.338
Au1 Au 0.003 0.003 0.007
Sc1 Sc 0.328 0.328 0.655

=====

2.
# SCAN ScOsAu, single point on PBEsol structure
# total magnetization = 0.23 Bohr magnetons per cell
# ΔH_f (0 K) = -31 meV per atom
# offset from the most stable computed form = 0.0866 eV/atom
data_ScOsAu
_cell_length_a 2.677
_cell_length_b 4.601
_cell_length_c 4.601
_cell_angle_alpha 120.00
_cell_angle_beta 90.00
_cell_angle_gamma 90.00
_space_group_name_H-M_alt 'P 1'
_space_group_IT_number 1
loop_
_space_group_symop_operation_xyz
'x,y,z'
loop_
_atom_site_label
_atom_site_type_symbol
_atom_site_fract_x
_atom_site_fract_y
_atom_site_fract_z
Sc1 Sc 0.310 0.667 0.333
Os1 Os 0.641 0.333 0.667
Au1 Au 0.049 0.000 0.000

=====

3.
# SCAN ScSiOs2Au, single point on PBEsol structure
# E_form (uncorrected) = 2.13 eV/atom
# total magnetization = 1.48 Bohr magnetons per cell
data_ScSiOs2Au
_cell_length_a 4.581
_cell_length_b 4.581
_cell_length_c 4.667
_cell_angle_alpha 90.00
_cell_angle_beta 90.00
_cell_angle_gamma 90.00
_space_group_name_H-M_alt 'P 1'
_space_group_IT_number 1
loop_
_space_group_symop_operation_xyz
'x,y,z'
loop_
_atom_site_label
_atom_site_type_symbol
_atom_site_fract_x
_atom_site_fract_y
_atom_site_fract_z
Si1 Si 0.000 0.000 0.500
Os1 Os 0.000 0.500 0.000
Os2 Os 0.500 0.000 0.000
Sc1 Sc 0.000 0.000 0.000
Au1 Au 0.500 0.500 0.500

=====

4.
# SCAN YScOs2Au, single point on PBEsol structure
# total magnetization = 1.61 Bohr magnetons per cell
# ΔH_f (0 K) = 1331 meV per atom
data_YScOs2Au
_cell_length_a 4.889
_cell_length_b 4.912
_cell_length_c 4.912
_cell_angle_alpha 90.00
_cell_angle_beta 90.00
_cell_angle_gamma 90.00
_space_group_name_H-M_alt 'P 1'
_space_group_IT_number 1
loop_
_space_group_symop_operation_xyz
'x,y,z'
loop_
_atom_site_label
_atom_site_type_symbol
_atom_site_fract_x
_atom_site_fract_y
_atom_site_fract_z
Au1 Au 0.000 0.000 0.000
Sc1 Sc 0.500 0.500 0.500
Y1 Y 0.500 0.000 0.000
Os1 Os 0.000 0.500 0.000
Os2 Os 0.000 0.000 0.500

=====

5.
# SCAN OsAu2Se, single point on PBEsol structure
# E_form (uncorrected) = 0.34 eV/atom
# total magnetization = 0.00 Bohr magnetons per cell
data_OsAu2Se
_cell_length_a 2.938
_cell_length_b 2.938
_cell_length_c 7.996
_cell_angle_alpha 90.00
_cell_angle_beta 90.00
_cell_angle_gamma 90.00
_space_group_name_H-M_alt 'P 1'
_space_group_IT_number 1
loop_
_space_group_symop_operation_xyz
'x,y,z'
loop_
_atom_site_label
_atom_site_type_symbol
_atom_site_fract_x
_atom_site_fract_y
_atom_site_fract_z
Au1 Au 0.000 0.000 0.024
Se1 Se 0.500 0.500 0.689
Os1 Os 0.000 0.000 0.518
Au2 Au 0.500 0.500 0.268

=====

6.
# SCAN OsAu2Se, single point on PBEsol structure
# E_form (uncorrected) = 0.42 eV/atom
# total magnetization = 0.00 Bohr magnetons per cell
data_OsAu2Se
_cell_length_a 2.913
_cell_length_b 4.465
_cell_length_c 6.165
_cell_angle_alpha 104.50
_cell_angle_beta 103.67
_cell_angle_gamma 90.00
_space_group_name_H-M_alt 'P 1'
_space_group_IT_number 1
loop_
_space_group_symop_operation_xyz
'x,y,z'
loop_
_atom_site_label
_atom_site_type_symbol
_atom_site_fract_x
_atom_site_fract_y
_atom_site_fract_z
Se1 Se 0.184 0.667 0.369
Au1 Au 0.977 0.974 0.954
Os1 Os 0.522 0.502 0.043
Au2 Au 0.817 0.357 0.634